No. 1
Below is a relaxed structure of SrB2AsF, with properties calculated at the PBE level.

The formation energy from raw total energies is 0.8546 eV per atom. Its space group is P4/mmm.

Geometry as POSCAR:
```
SrB2AsF
1.0
-2.493 -3.589 1.089
0.588 -1.628 -4.018
3.702 -2.143 1.410
B As Sr F
2 1 1 1
Direct
0.500 0.000 0.000
0.000 0.000 0.500
0.000 0.500 0.000
0.500 0.500 0.500
0.000 0.000 0.000
```

No. 2
Below is a relaxed structure of BTe2AsF, with properties calculated at the PBE level.

The formation energy from raw total energies is 0.9504 eV per atom. Its space group is P4/mmm.

Geometry as POSCAR:
```
BTe2AsF
1.0
-3.419 1.517 -3.457
-1.862 -3.908 0.127
-3.075 1.586 3.738
Te F As B
2 1 1 1
Direct
0.500 0.000 0.000
0.000 0.000 0.500
0.000 0.000 0.000
0.000 0.500 0.000
0.500 0.500 0.500
```

No. 3
Below is a relaxed structure of FeB2As, with properties calculated at the PBE level.

Its space group is I-42d. The value obtained for the formation energy is 613 meV/atom.

Geometry as POSCAR:
```
FeB2As
1.0
4.722 0.000 0.000
0.000 4.722 0.000
2.361 2.361 4.590
As B Fe
2 4 2
Direct
0.000 0.000 0.000
0.750 0.250 0.500
0.875 0.857 0.750
0.143 0.625 0.250
0.375 0.393 0.750
0.607 0.125 0.250
0.500 0.500 0.000
0.250 0.750 0.500
```

No. 4
Below is a relaxed structure of FeBAs2, with properties calculated at the PBE level.

Its space group is I-42d. The value obtained for the formation energy is 294 meV/atom.

Geometry as POSCAR:
```
FeBAs2
1.0
-4.113 -0.928 -3.265
0.258 -5.201 1.154
-4.903 -2.421 2.509
As B Fe
4 2 2
Direct
0.582 0.125 0.250
0.168 0.625 0.250
0.375 0.418 0.750
0.875 0.832 0.750
0.500 0.500 0.000
0.250 0.750 0.500
0.750 0.250 0.500
0.000 0.000 0.000
```

No. 5
Below is a relaxed structure of Fe3BAs, with properties calculated at the PBE level.

Its space group is Pm-3m. The value obtained for the formation energy is 124 meV/atom. The energy relative to the lowest polymorph listed for this composition comes out at 0 meV/atom.

Geometry as POSCAR:
```
Fe3BAs
1.0
3.886 0.000 0.000
0.000 3.886 0.000
0.000 0.000 3.886
As Fe B
1 3 1
Direct
0.500 0.500 0.500
0.000 0.000 0.500
0.000 0.500 0.000
0.500 0.000 0.000
0.000 0.000 0.000
```

No. 6
Below is a relaxed structure of Fe2BAs, with properties calculated at the PBE level.

Its space group is Fm-3m. The value obtained for the formation energy is 233 meV/atom. The energy relative to the lowest polymorph listed for this composition comes out at 0 meV/atom.

Geometry as POSCAR:
```
Fe2BAs
1.0
-3.025 -1.896 1.425
-3.119 1.936 1.139
-3.254 -0.232 -2.032
As B Fe
1 1 2
Direct
0.500 0.500 0.500
0.000 0.000 0.000
0.250 0.250 0.250
0.750 0.750 0.750
```

No. 7
Below is a relaxed structure of FeB3As, with properties calculated at the PBE level.

Its space group is Pm-3m. The value obtained for the formation energy is 1190 meV/atom. The energy relative to the lowest polymorph listed for this composition comes out at 0 meV/atom.

Geometry as POSCAR:
```
FeB3As
1.0
-0.795 -3.311 -1.808
1.603 -1.969 2.901
-3.415 -0.153 1.782
Fe B As
1 3 1
Direct
0.000 0.000 0.000
0.000 0.000 0.500
0.500 0.000 0.000
0.000 0.500 0.000
0.500 0.500 0.500
```

No. 8
Below is a relaxed structure of FeB3As, with properties calculated at the PBE level.

Its space group is Pm-3m. The value obtained for the formation energy is 2307 meV/atom. The energy relative to the lowest polymorph listed for this composition comes out at 1116 meV/atom.

Geometry as POSCAR:
```
FeB3As
1.0
4.022 0.000 0.000
0.000 4.022 0.000
0.000 0.000 4.022
B As Fe
3 1 1
Direct
0.000 0.000 0.500
0.500 0.000 0.000
0.000 0.500 0.000
0.000 0.000 0.000
0.500 0.500 0.500
```

No. 9
Below is a relaxed structure of Fe2BAs, with properties calculated at the PBE level.

Its space group is I-42d. The value obtained for the formation energy is 506 meV/atom. The energy relative to the lowest polymorph listed for this composition comes out at 273 meV/atom.

Geometry as POSCAR:
```
Fe2BAs
1.0
-1.460 -2.687 -3.770
4.468 0.218 -1.886
2.701 -5.218 -0.452
Fe B As
4 2 2
Direct
0.199 0.625 0.250
0.875 0.801 0.750
0.551 0.125 0.250
0.375 0.449 0.750
0.500 0.500 0.000
0.250 0.750 0.500
0.750 0.250 0.500
0.000 0.000 0.000
```

No. 10
Below is a relaxed structure of Fe3BAs, with properties calculated at the PBE level.

Its space group is Pm-3m. The value obtained for the formation energy is 1491 meV/atom. The energy relative to the lowest polymorph listed for this composition comes out at 1367 meV/atom.

Geometry as POSCAR:
```
Fe3BAs
1.0
4.362 0.000 0.000
0.000 4.362 0.000
0.000 0.000 4.362
Fe As B
3 1 1
Direct
0.000 0.500 0.000
0.500 0.000 0.000
0.000 0.000 0.500
0.000 0.000 0.000
0.500 0.500 0.500
```

No. 11
Below is a relaxed structure of HfFe2BAs, with properties calculated at the PBE level.

Its space group is P4/mmm. The value obtained for the formation energy is -146 meV/atom.

Geometry as POSCAR:
```
HfFe2BAs
1.0
-1.297 -1.247 -3.421
3.808 -2.574 -0.506
-1.768 -2.959 1.749
B Fe Hf As
1 2 1 1
Direct
0.000 0.000 0.000
0.000 0.000 0.500
0.500 0.000 0.000
0.000 0.500 0.000
0.500 0.500 0.500
```